A relaxed structure of GdMgNi. Source: OQMD via LeMat-Bulk, functional PBE-GGA.

## Properties
The value obtained for the calculated density is 5.9 Mg/m³. As for the total energy: -12.24 eV/f.u.

Cell and atoms, written as CIF:
```
data_GdMgNi
_chemical_formula_sum 'Gd4 Mg4 Ni4'
_space_group_name_H-M_alt 'F -4 3 m'
_space_group_IT_number 216
_space_group_name_Hall 'F -4 2 3'
_cell_length_a 6.4690
_cell_length_b 6.4690
_cell_length_c 6.4690
_cell_angle_alpha 90.00
_cell_angle_beta 90.00
_cell_angle_gamma 90.00
loop_
_atom_site_label
_atom_site_type_symbol
_atom_site_fract_x
_atom_site_fract_y
_atom_site_fract_z
Gd1 Gd 0.0000 0.0000 0.0000
Mg1 Mg 0.0000 0.0000 0.5000
Ni1 Ni 0.2500 0.2500 0.2500
```

=====

A relaxed structure of Zn2SnH6. Source: OQMD via LeMat-Bulk, functional PBE-GGA.

## Properties
The value obtained for the calculated density is 4.8 Mg/m³. As for the total energy: -20.07 eV/f.u.

Cell and atoms, written as CIF:
```
data_Zn2SnH6
_chemical_formula_sum 'Zn8 Sn4 H24'
_space_group_name_H-M_alt 'F m -3 m'
_space_group_IT_number 225
_space_group_name_Hall '-F 4 2 3'
_cell_length_a 7.0885
_cell_length_b 7.0885
_cell_length_c 7.0885
_cell_angle_alpha 90.00
_cell_angle_beta 90.00
_cell_angle_gamma 90.00
loop_
_atom_site_label
_atom_site_type_symbol
_atom_site_fract_x
_atom_site_fract_y
_atom_site_fract_z
Zn1 Zn 0.2500 0.2500 0.2500
Sn1 Sn 0.0000 0.0000 0.0000
H1 H 0.0000 0.0000 0.2703
```